# V2GaAsAu | Alexandria via LeMat-Bulk | GGA-PBE | optimized geometry
# - crystal system = tetragonal
# - DOS(E_F) (states/eV/atom) = 1.05
# - calculated formation energy (meV/atom) = 677
data_V2GaAsAu
_symmetry_space_group_name_H-M 'P 4/m m m'
_symmetry_Int_Tables_number 123
_symmetry_space_group_name_Hall '-P 4 2'
_cell_length_a 4.6540
_cell_length_b 4.6540
_cell_length_c 4.7900
_cell_angle_alpha 90.00
_cell_angle_beta 90.00
_cell_angle_gamma 90.00
loop_
_atom_site_label
_atom_site_fract_x
_atom_site_fract_y
_atom_site_fract_z
V1 0.0000 0.5000 0.0000
Ga1 0.0000 0.0000 0.5000
As1 0.0000 0.0000 0.0000
Au1 0.5000 0.5000 0.5000


# BaGaBF2 | Alexandria via LeMat-Bulk | GGA-PBE | optimized geometry
# - crystal system = tetragonal
# - formation energy without anion corrections (eV/atom) = -1.060
# - DOS(E_F) (states/eV/atom) = 0.54
data_BaGaBF2
_symmetry_space_group_name_H-M 'P 4/m m m'
_symmetry_Int_Tables_number 123
_symmetry_space_group_name_Hall '-P 4 2'
_cell_length_a 4.8815
_cell_length_b 4.8815
_cell_length_c 3.8542
_cell_angle_alpha 90.00
_cell_angle_beta 90.00
_cell_angle_gamma 90.00
loop_
_atom_site_label
_atom_site_fract_x
_atom_site_fract_y
_atom_site_fract_z
Ba1 0.0000 0.0000 0.0000
Ga1 0.5000 0.5000 0.0000
B1 0.5000 0.5000 0.5000
F1 0.0000 0.5000 0.5000